This record from Alexandria describes an optimized crystal structure of HfSc3. The functional is PBE.

The total magnetization is 0.55 μB/f.u. The space group is Fm-3m, No. 225. The value obtained for the distance to the lowest polymorph of the same formula is 168 meV/atom. The calculation puts the energy relative to the elements at 0.180 eV/atom.

```
HfSc3
1.0
-3.248 -1.082 3.808
0.573 -4.309 2.707
1.590 0.223 4.863
Sc Hf
3 1
Cartesian
0.000 0.000 0.000 Sc
-0.815 -3.876 8.534 Sc
-0.272 -1.292 2.845 Sc
-0.543 -2.584 5.689 Hf
```

This record from Alexandria describes an optimized crystal structure of HfSc3. The functional is PBE.

The total magnetization is 0.00 μB/f.u. The space group is Pm-3m, No. 221. The value obtained for the distance to the lowest polymorph of the same formula is 67 meV/atom. The calculation puts the energy relative to the elements at 0.080 eV/atom.

```
HfSc3
1.0
4.548 0.000 0.000
0.000 4.548 0.000
0.000 0.000 4.548
Sc Hf
3 1
Cartesian
0.000 2.274 2.274 Sc
2.274 0.000 2.274 Sc
2.274 2.274 0.000 Sc
0.000 0.000 0.000 Hf
```

This record from Alexandria describes an optimized crystal structure of Hf4Sc. The functional is PBE.

The total magnetization is 0.00 μB/f.u. The space group is I4/mmm, No. 139. The value obtained for the distance to the lowest polymorph of the same formula is 338 meV/atom. The calculation puts the energy relative to the elements at 0.408 eV/atom.

```
Hf4Sc
1.0
4.146 0.021 0.000
-0.021 4.146 0.000
-2.062 -2.083 7.038
Hf Sc
4 1
Cartesian
3.093 3.125 0.000 Hf
1.031 1.042 0.000 Hf
3.104 1.052 2.159 Hf
-1.042 1.031 4.879 Hf
1.021 3.115 3.519 Sc
```

This record from Alexandria describes an optimized crystal structure of HfSc. The functional is PBE.

The total magnetization is 0.00 μB/f.u. The space group is Fddd, No. 70. The calculation puts the energy relative to the elements at 0.474 eV/atom.

```
HfSc
1.0
-0.967 -3.122 -10.735
7.541 -3.361 0.298
-3.278 -7.145 2.373
Hf Sc
16 16
Cartesian
-1.091 -2.378 0.790 Hf
-2.187 -4.766 1.583 Hf
2.408 -9.854 -0.283 Hf
3.503 -7.466 -1.076 Hf
1.040 -7.631 2.126 Hf
3.223 -2.875 0.546 Hf
0.276 -4.601 -1.619 Hf
1.372 -2.213 -2.412 Hf
-3.214 -7.512 -3.391 Hf
-1.031 -2.755 -4.971 Hf
3.564 -7.843 -6.837 Hf
4.659 -5.455 -7.630 Hf
2.196 -5.620 -4.428 Hf
1.100 -8.008 -3.635 Hf
-1.846 -9.734 -5.800 Hf
-0.751 -7.347 -6.593 Hf
1.278 -0.569 0.051 Sc
6.264 -2.792 0.248 Sc
3.317 -4.518 -1.917 Sc
5.872 -5.657 -1.816 Sc
3.409 -5.822 1.386 Sc
0.854 -4.684 1.285 Sc
-2.093 -6.410 -0.880 Sc
0.463 -7.549 -0.778 Sc
-0.845 -5.703 -4.130 Sc
4.141 -7.925 -3.933 Sc
1.194 -9.652 -6.098 Sc
3.750 -10.791 -5.997 Sc
4.565 -3.811 -5.167 Sc
2.010 -2.672 -5.269 Sc
-0.937 -4.399 -7.434 Sc
1.618 -5.538 -7.332 Sc
```

This record from Alexandria describes an optimized crystal structure of HfSc4. The functional is PBE.

The total magnetization is 0.00 μB/f.u. The space group is P2/c, No. 13. The value obtained for the distance to the lowest polymorph of the same formula is 151 meV/atom. The calculation puts the energy relative to the elements at 0.231 eV/atom.

```
HfSc4
1.0
5.375 -0.190 0.000
-2.123 5.461 0.000
0.000 0.000 8.383
Hf Sc
2 8
Cartesian
1.344 -0.048 7.511 Hf
4.031 -0.143 0.873 Hf
4.675 1.233 3.566 Sc
1.608 3.611 6.876 Sc
1.643 1.660 1.507 Sc
-1.423 4.038 4.817 Sc
4.331 1.565 6.876 Sc
1.988 1.328 4.817 Sc
1.264 3.943 3.566 Sc
-1.079 3.706 1.507 Sc
```

This record from Alexandria describes an optimized crystal structure of HfSc. The functional is PBE.

The total magnetization is 0.00 μB/f.u. The space group is P2_12_12_1, No. 19. The calculation puts the energy relative to the elements at 0.037 eV/atom.

```
HfSc
1.0
6.437 0.000 0.000
0.000 5.618 0.000
0.000 0.000 10.194
Hf Sc
8 8
Cartesian
4.034 1.447 10.193 Hf
0.815 1.362 0.001 Hf
2.404 4.256 5.098 Hf
5.622 4.172 5.096 Hf
0.767 5.175 7.627 Hf
3.985 3.252 2.568 Hf
5.670 2.366 7.665 Hf
2.452 0.443 2.530 Hf
2.412 4.233 10.186 Sc
5.630 4.194 0.009 Sc
4.026 1.424 5.106 Sc
0.807 1.385 5.089 Sc
2.397 2.334 7.666 Sc
5.616 0.475 2.529 Sc
4.040 5.143 7.626 Sc
0.822 3.284 2.568 Sc
```

This record from Alexandria describes an optimized crystal structure of HfSc5. The functional is PBE.

The total magnetization is 0.00 μB/f.u. The space group is Amm2, No. 38. The value obtained for the distance to the lowest polymorph of the same formula is 0 meV/atom. The calculation puts the energy relative to the elements at 0.008 eV/atom.

```
HfSc5
1.0
3.211 0.000 -0.619
0.000 5.128 0.000
0.015 0.000 8.722
Hf Sc
1 5
Cartesian
0.363 2.564 1.883 Hf
0.005 0.000 0.027 Sc
1.083 0.000 5.618 Sc
2.141 0.000 2.470 Sc
1.450 2.564 7.526 Sc
2.492 2.564 4.289 Sc
```

This record from Alexandria describes an optimized crystal structure of HfSc4. The functional is PBE.

The total magnetization is 0.00 μB/f.u. The space group is Cmmm, No. 65. The value obtained for the distance to the lowest polymorph of the same formula is 0 meV/atom. The calculation puts the energy relative to the elements at 0.080 eV/atom.

```
HfSc4
1.0
6.353 0.000 0.000
3.176 4.823 0.647
3.176 1.400 7.890
Hf Sc
2 8
Cartesian
4.765 0.000 0.000 Hf
1.588 0.000 0.000 Hf
9.529 4.022 6.646 Sc
6.353 4.022 6.645 Sc
7.941 1.799 4.912 Sc
4.765 1.799 4.912 Sc
7.941 4.425 3.625 Sc
4.765 4.425 3.625 Sc
6.353 2.201 1.892 Sc
3.176 2.201 1.891 Sc
```

This record from Alexandria describes an optimized crystal structure of HfSc. The functional is PBE.

The total magnetization is 0.00 μB/f.u. The space group is I4/m, No. 87. The calculation puts the energy relative to the elements at 0.378 eV/atom.

```
HfSc
1.0
11.209 0.000 0.000
0.000 11.209 0.000
0.000 0.000 3.050
Hf Sc
8 8
Cartesian
4.569 3.747 0.000 Hf
6.640 7.463 0.000 Hf
7.463 4.569 0.000 Hf
3.747 6.640 0.000 Hf
10.174 9.351 1.525 Hf
1.035 1.858 1.525 Hf
1.858 10.174 1.525 Hf
9.351 1.035 1.525 Hf
4.526 9.498 0.000 Sc
6.684 1.711 0.000 Sc
1.711 4.526 0.000 Sc
9.498 6.684 0.000 Sc
10.130 3.894 1.525 Sc
1.079 7.316 1.525 Sc
7.316 10.130 1.525 Sc
3.894 1.079 1.525 Sc
```

This record from Alexandria describes an optimized crystal structure of HfSc. The functional is PBE.

The total magnetization is 0.00 μB/f.u. The space group is Pm-3n, No. 223. The calculation puts the energy relative to the elements at 2.563 eV/atom.

```
HfSc
1.0
7.937 0.000 0.000
0.000 7.937 0.000
0.000 0.000 7.937
Hf Sc
6 6
Cartesian
1.984 3.968 0.000 Hf
5.953 3.968 0.000 Hf
3.968 0.000 1.984 Hf
3.968 0.000 5.953 Hf
0.000 1.984 3.968 Hf
0.000 5.953 3.968 Hf
1.984 0.000 3.968 Sc
5.953 0.000 3.968 Sc
0.000 3.968 1.984 Sc
0.000 3.968 5.953 Sc
3.968 1.984 0.000 Sc
3.968 5.953 0.000 Sc
```

This record from Alexandria describes an optimized crystal structure of HfSc3. The functional is PBE.

The total magnetization is 0.00 μB/f.u. The space group is Pmm2, No. 25. The value obtained for the distance to the lowest polymorph of the same formula is 5 meV/atom. The calculation puts the energy relative to the elements at 0.017 eV/atom.

```
HfSc3
1.0
3.255 0.000 0.000
0.000 5.105 0.000
0.000 0.000 5.694
Sc Hf
3 1
Cartesian
0.000 2.553 1.858 Sc
1.628 0.000 2.868 Sc
1.628 2.553 4.768 Sc
0.000 0.000 5.691 Hf
```

This record from Alexandria describes an optimized crystal structure of HfSc5. The functional is PBE.

The total magnetization is 0.00 μB/f.u. The space group is Cmmm, No. 65. The value obtained for the distance to the lowest polymorph of the same formula is 130 meV/atom. The calculation puts the energy relative to the elements at 0.137 eV/atom.

```
HfSc5
1.0
3.426 0.000 0.000
0.000 5.209 0.000
0.000 -2.605 8.039
Sc Hf
5 1
Cartesian
0.000 2.605 2.474 Sc
0.000 0.000 5.565 Sc
1.713 2.605 0.000 Sc
1.713 0.000 2.809 Sc
1.713 2.605 5.230 Sc
0.000 0.000 0.000 Hf
```

This record from Alexandria describes an optimized crystal structure of HfSc. The functional is PBE.

The total magnetization is 0.00 μB/f.u. The space group is P4/m, No. 83. The calculation puts the energy relative to the elements at 0.303 eV/atom.

```
HfSc
1.0
-1.155 6.414 -6.132
-6.598 3.514 4.919
3.342 2.904 2.408
Hf Sc
8 8
Cartesian
-2.123 7.869 -1.268 Hf
-2.287 4.964 2.463 Hf
-3.974 7.693 1.514 Hf
-0.436 5.140 -0.319 Hf
-4.867 6.740 -1.373 Hf
-2.886 3.189 0.160 Hf
-5.166 4.999 1.142 Hf
-2.586 4.929 -2.355 Hf
-4.386 9.782 -0.434 Sc
-0.024 3.050 1.629 Sc
-4.408 6.058 4.086 Sc
-0.003 6.774 -2.891 Sc
-3.273 7.156 -4.087 Sc
-4.480 2.773 2.874 Sc
-6.929 7.561 0.499 Sc
-0.824 2.368 -1.712 Sc
```

This record from Alexandria describes an optimized crystal structure of Hf3Sc2. The functional is PBE.

The total magnetization is 1.04 μB/f.u. The space group is R-3m, No. 166. The value obtained for the distance to the lowest polymorph of the same formula is 317 meV/atom. The calculation puts the energy relative to the elements at 0.462 eV/atom.

```
Hf3Sc2
1.0
6.019 0.000 0.000
3.010 5.213 0.000
3.010 1.738 7.714
Sc Hf
4 6
Cartesian
9.029 5.213 4.416 Sc
3.010 1.738 0.559 Sc
3.010 1.738 3.298 Sc
9.029 5.213 7.155 Sc
6.020 5.213 5.786 Hf
7.524 2.606 5.786 Hf
4.514 2.607 5.786 Hf
4.515 4.344 1.929 Hf
7.524 4.344 1.929 Hf
6.019 1.738 1.929 Hf
```

This record from Alexandria describes an optimized crystal structure of Hf5Sc2. The functional is PBE.

The total magnetization is 0.00 μB/f.u. The space group is P-1, No. 2. The calculation puts the energy relative to the elements at 0.124 eV/atom.

```
Hf5Sc2
1.0
3.009 0.005 0.762
1.616 5.270 -0.015
-0.983 -1.574 10.140
Hf Sc
5 2
Cartesian
0.886 0.781 9.103 Hf
2.756 2.920 1.784 Hf
0.000 0.000 0.000 Hf
2.794 3.006 7.892 Hf
0.847 0.695 2.995 Hf
1.644 0.549 6.162 Sc
1.998 3.152 4.725 Sc
```

This record from Alexandria describes an optimized crystal structure of HfSc3. The functional is PBE.

The total magnetization is 0.00 μB/f.u. The space group is I4/mmm, No. 139. The value obtained for the distance to the lowest polymorph of the same formula is 59 meV/atom. The calculation puts the energy relative to the elements at 0.071 eV/atom.

```
HfSc3
1.0
-2.724 0.710 -3.582
0.214 -4.431 -1.041
-2.364 1.075 4.908
Sc Hf
3 1
Cartesian
-3.172 -0.038 -0.493 Sc
-1.702 -2.608 0.778 Sc
-1.255 -1.860 -2.312 Sc
0.000 0.000 0.000 Hf
```

This record from Alexandria describes an optimized crystal structure of HfSc. The functional is PBE.

The total magnetization is 0.13 μB/f.u. The space group is I-43m, No. 217. The calculation puts the energy relative to the elements at 1.633 eV/atom.

```
HfSc
1.0
8.952 0.000 0.000
0.000 8.952 0.000
0.000 0.000 8.952
Hf Sc
8 8
Cartesian
3.483 3.483 3.483 Hf
3.483 5.469 5.469 Hf
5.469 3.483 5.469 Hf
5.469 5.469 3.483 Hf
7.960 7.960 7.960 Hf
7.960 0.993 0.993 Hf
0.993 7.960 0.993 Hf
0.993 0.993 7.960 Hf
1.765 1.765 1.765 Sc
1.765 7.187 7.187 Sc
7.187 1.765 7.187 Sc
7.187 7.187 1.765 Sc
6.241 6.241 6.241 Sc
6.241 2.711 2.711 Sc
2.711 6.241 2.711 Sc
2.711 2.711 6.241 Sc
```

This record from Alexandria describes an optimized crystal structure of HfSc4. The functional is PBE.

The total magnetization is 0.00 μB/f.u. The space group is Pm-3m, No. 221. The value obtained for the distance to the lowest polymorph of the same formula is 651 meV/atom. The calculation puts the energy relative to the elements at 0.731 eV/atom.

```
HfSc4
1.0
-3.080 -1.698 3.802
-2.149 -3.402 -3.261
3.566 -3.517 1.318
Sc Hf
4 1
Cartesian
0.000 0.000 0.000 Sc
0.243 -2.607 2.560 Sc
0.708 -3.459 -0.971 Sc
-2.615 -2.550 0.271 Sc
-0.832 -4.308 0.930 Hf
```

This record from Alexandria describes an optimized crystal structure of Hf3Sc13. The functional is PBE.

The total magnetization is 2.69 μB/f.u. The space group is Amm2, No. 38. The calculation puts the energy relative to the elements at 0.005 eV/atom.

```
Hf3Sc13
1.0
-3.214 -1.290 5.566
-4.877 -4.479 -3.855
5.026 -5.553 1.615
Hf Sc
3 13
Cartesian
2.172 -6.481 5.580 Hf
2.167 -5.243 0.036 Hf
3.810 -5.824 2.745 Hf
-4.363 -8.324 1.358 Sc
-2.746 -5.945 2.853 Sc
-4.439 -3.203 2.502 Sc
0.534 -7.583 -1.449 Sc
0.460 -2.541 -0.324 Sc
-2.865 -4.697 -2.743 Sc
-2.742 -7.673 -1.449 Sc
-1.117 -5.291 0.033 Sc
-2.818 -2.552 -0.305 Sc
0.570 -5.889 2.825 Sc
-1.100 -8.282 1.306 Sc
-1.177 -3.126 2.456 Sc
-4.443 -5.346 0.056 Sc
```

This record from Alexandria describes an optimized crystal structure of Hf3Sc4. The functional is PBE.

The total magnetization is 0.00 μB/f.u. The space group is C2/m, No. 12. The calculation puts the energy relative to the elements at 0.156 eV/atom.

```
Hf3Sc4
1.0
-1.510 -2.457 1.170
6.399 -4.459 -1.109
-0.485 5.222 6.202
Hf Sc
3 4
Cartesian
0.000 0.000 0.000 Hf
1.406 0.394 2.641 Hf
2.998 -2.088 3.621 Hf
2.770 -1.403 0.628 Sc
1.634 -0.292 5.635 Sc
-0.113 2.344 4.777 Sc
4.518 -4.039 1.486 Sc
```

Number 1: E -28.2 eV/cell. Number 2: E -28.6 eV/cell. Number 3: E -44.1 eV/cell. Number 4: E -245.4 eV/cell. Number 5: E -68.2 eV/cell. Number 6: E -129.7 eV/cell. Number 7: E -41.6 eV/cell. Number 8: E -69.8 eV/cell. Number 9: E -124.2 eV/cell. Number 10: E -67.0 eV/cell. Number 11: E -28.9 eV/cell. Number 12: E -40.8 eV/cell. Number 13: E -125.4 eV/cell. Number 14: E -80.4 eV/cell. Number 15: E -61.6 eV/cell. Number 16: E -28.7 eV/cell. Number 17: E -104.1 eV/cell. Number 18: E -31.6 eV/cell. Number 19: E -112.1 eV/cell. Number 20: E -54.1 eV/cell.